[1]
First-principles (GGA-PBE) data for a relaxed Sr2LiGa3 crystal, as listed in Alexandria. Values from VASP.

Calculated values
Calculated formation energy in eV/atom: -0.3695
Total moment in μB/atom: 0.000
DFT total energy in eV per cell: -33.151

```
&SYSTEM
  ibrav = 0, nat = 12, ntyp = 3
/
ATOMIC_SPECIES
Sr 87.62 Sr.upf
Li 6.94 Li.upf
Ga 69.72 Ga.upf
CELL_PARAMETERS angstrom
6.233 0.578 0.000
0.193 6.256 0.000
-3.213 -3.417 8.102
ATOMIC_POSITIONS angstrom
Sr 3.116 0.289 4.051
Sr 4.678 2.039 0.000
Sr 0.096 3.128 4.051
Sr 1.747 4.795 0.000
Li 3.213 3.417 2.720
Li 0.000 0.000 5.381
Ga 4.873 5.183 1.339
Ga 1.660 1.766 6.762
Ga -1.660 -1.766 6.762
Ga 1.552 1.651 1.339
Ga 0.000 0.000 2.628
Ga 3.213 3.417 5.473
```

---

[2]
First-principles (GGA-PBE) data for a relaxed Ac2ErSe3 crystal, as listed in Alexandria. Values from VASP.

Calculated values
Total moment in μB/atom: 0.000
Formation energy (no corrections) in meV per atom: -1789
DFT total energy in eV per cell: -135.867

```
&SYSTEM
  ibrav = 0, nat = 24, ntyp = 3
/
ATOMIC_SPECIES
Ac 227.00 Ac.upf
Er 167.26 Er.upf
Se 78.96 Se.upf
CELL_PARAMETERS angstrom
-0.812 -7.274 -1.781
7.137 1.204 2.086
-6.264 0.413 11.973
ATOMIC_POSITIONS angstrom
Ac -3.489 -6.244 11.165
Ac -2.607 -2.204 10.193
Ac -2.451 -5.366 7.105
Ac -1.569 -1.326 6.134
Ac 1.630 -4.331 6.145
Ac -1.462 -4.530 3.240
Ac 2.668 -3.453 2.085
Ac -0.424 -3.652 -0.820
Er 0.577 -5.221 10.260
Er 1.502 -1.145 9.124
Er 2.534 -0.273 5.087
Er -0.516 -0.436 2.018
Se -0.392 -0.021 11.008
Se -4.719 -4.300 8.976
Se -3.853 -0.275 8.071
Se -0.339 -3.270 8.322
Se 0.618 0.635 7.038
Se 3.418 -2.053 7.173
Se 0.587 -2.188 4.047
Se 3.728 -5.581 4.116
Se 0.618 -5.795 1.278
Se 4.615 -1.198 3.294
Se 1.400 -1.344 0.068
Se 4.925 -4.726 0.237
```

---

[3]
First-principles (GGA-PBE) data for a relaxed Rb2VBr6Cl crystal, as listed in Alexandria. Values from VASP.

Calculated values
Excess energy over the best structure of this formula in the dataset in meV/atom: 86
Total moment in μB/atom: 0.000
Formation energy (no corrections) in meV per atom: -978
DFT total energy in eV per cell: -32.718

```
&SYSTEM
  ibrav = 0, nat = 10, ntyp = 4
/
ATOMIC_SPECIES
Cl 35.45 Cl.upf
Br 79.90 Br.upf
Rb 85.47 Rb.upf
V 50.94 V.upf
CELL_PARAMETERS angstrom
7.994 0.000 0.000
0.000 7.994 0.000
3.997 3.997 5.736
ATOMIC_POSITIONS angstrom
Cl 3.997 3.997 0.000
Br 3.997 3.997 3.264
Br 7.994 7.994 2.472
Br 1.750 1.750 0.000
Br 6.244 6.244 0.000
Br 6.244 1.750 0.000
Br 1.750 6.244 0.000
Rb 7.994 3.997 2.868
Rb 3.997 7.994 2.868
V 0.000 0.000 0.000
```

---

[4]
First-principles (GGA-PBE) data for a relaxed AlReAs2 crystal, as listed in Alexandria. Values from VASP.

Calculated values
Calculated formation energy in eV/atom: 0.4843
Excess energy over the best structure of this formula in the dataset in meV/atom: 451
Total moment in μB/atom: 0.000
DFT total energy in eV per cell: -23.553

```
&SYSTEM
  ibrav = 0, nat = 4, ntyp = 3
/
ATOMIC_SPECIES
Re 186.21 Re.upf
As 74.92 As.upf
Al 26.98 Al.upf
CELL_PARAMETERS angstrom
-4.844 -0.757 -0.374
-1.560 -2.868 3.676
2.724 4.093 -0.075
ATOMIC_POSITIONS angstrom
Re -3.202 -1.813 1.651
As 0.000 0.000 0.000
As -1.019 -0.294 2.626
Al -2.661 0.762 0.601
```

---

[5]
First-principles (GGA-PBE) data for a relaxed Ca2CuGe6 crystal, as listed in Alexandria. Values from VASP.

Calculated values
Calculated formation energy in eV/atom: -0.2716
Total moment in μB/atom: 0.000
DFT total energy in eV per cell: -38.248

```
&SYSTEM
  ibrav = 0, nat = 9, ntyp = 3
/
ATOMIC_SPECIES
Ca 40.08 Ca.upf
Cu 63.55 Cu.upf
Ge 72.64 Ge.upf
CELL_PARAMETERS angstrom
-3.066 -1.861 -1.802
2.667 -1.810 -2.668
2.669 -7.721 7.905
ATOMIC_POSITIONS angstrom
Ca 0.755 -5.744 4.650
Ca -0.407 -9.501 6.036
Cu 0.427 -6.601 1.623
Ge -1.042 -4.665 2.122
Ge 1.819 -4.602 1.659
Ge 1.564 -2.659 0.086
Ge -1.298 -2.721 0.548
Ge 2.356 -8.688 4.966
Ge 0.669 -8.449 3.119
```

---

[6]
First-principles (GGA-PBE) data for a relaxed ReAsPt2 crystal, as listed in Alexandria. Values from VASP.

Calculated values
Calculated formation energy in eV/atom: 0.1281
Total moment in μB/atom: 0.000
DFT total energy in eV per cell: -28.667

```
&SYSTEM
  ibrav = 0, nat = 4, ntyp = 3
/
ATOMIC_SPECIES
Re 186.21 Re.upf
As 74.92 As.upf
Pt 195.08 Pt.upf
CELL_PARAMETERS angstrom
-4.340 2.243 -0.779
-0.053 -3.372 3.620
0.692 1.985 1.859
ATOMIC_POSITIONS angstrom
Re -1.824 2.114 0.540
As 0.319 -0.693 2.740
Pt 0.000 0.000 0.000
Pt -2.197 -0.564 1.421
```

---

[7]
First-principles (GGA-PBE) data for a relaxed HgHSe2N crystal, as listed in Alexandria. Values from VASP.

Calculated values
Excess energy over the best structure of this formula in the dataset in meV/atom: 0
Total moment in μB/atom: 0.305
DFT total energy in eV per cell: -12.739

```
&SYSTEM
  ibrav = 0, nat = 5, ntyp = 4
/
ATOMIC_SPECIES
H 1.01 H.upf
Hg 200.59 Hg.upf
Se 78.96 Se.upf
N 14.01 N.upf
CELL_PARAMETERS angstrom
-0.285 3.203 2.022
-3.133 -1.339 1.680
3.973 -2.875 5.115
ATOMIC_POSITIONS angstrom
H 0.000 0.000 0.000
Hg 0.278 -0.505 4.409
Se -1.566 -0.670 0.840
Se -0.143 1.602 1.011
N 1.986 -1.437 2.557
```

---

[8]
First-principles (GGA-PBE) data for a relaxed CeHo2Si crystal, as listed in Alexandria. Values from VASP.

Calculated values
Excess energy over the best structure of this formula in the dataset in meV/atom: 0
Total moment in μB/atom: 0.000
Formation energy (no corrections) in meV per atom: -258
DFT total energy in eV per cell: -21.546

```
&SYSTEM
  ibrav = 0, nat = 4, ntyp = 3
/
ATOMIC_SPECIES
Si 28.09 Si.upf
Ho 164.93 Ho.upf
Ce 140.12 Ce.upf
CELL_PARAMETERS angstrom
4.458 0.000 0.000
0.000 4.665 0.000
0.000 0.000 4.665
ATOMIC_POSITIONS angstrom
Si 2.229 2.333 2.333
Ho 0.000 0.000 2.333
Ho 0.000 2.333 0.000
Ce 2.229 0.000 0.000
```

---

[9]
First-principles (GGA-PBE) data for a relaxed TlReP2 crystal, as listed in Alexandria. Values from VASP.

Calculated values
Calculated formation energy in eV/atom: 0.4697
Excess energy over the best structure of this formula in the dataset in meV/atom: 459
Total moment in μB/atom: 0.000
DFT total energy in eV per cell: -23.755

```
&SYSTEM
  ibrav = 0, nat = 4, ntyp = 3
/
ATOMIC_SPECIES
P 30.97 P.upf
Re 186.21 Re.upf
Tl 204.38 Tl.upf
CELL_PARAMETERS angstrom
6.039 0.018 -0.011
1.962 5.712 0.011
-2.664 -4.732 2.643
ATOMIC_POSITIONS angstrom
P 7.501 5.371 0.000
P 4.501 3.223 0.000
Re 3.688 -0.925 1.316
Tl 1.650 1.922 1.327
```

---

[10]
First-principles (GGA-PBE) data for a relaxed HfGa3Au crystal, as listed in Alexandria. Values from VASP.

Calculated values
Calculated formation energy in eV/atom: 0.7741
Excess energy over the best structure of this formula in the dataset in meV/atom: 914
Total moment in μB/atom: 0.000
DFT total energy in eV per cell: -18.441

```
&SYSTEM
  ibrav = 0, nat = 5, ntyp = 3
/
ATOMIC_SPECIES
Hf 178.49 Hf.upf
Au 196.97 Au.upf
Ga 69.72 Ga.upf
CELL_PARAMETERS angstrom
5.186 0.000 0.000
0.000 5.186 0.000
0.000 0.000 5.186
ATOMIC_POSITIONS angstrom
Hf 0.000 0.000 0.000
Au 2.593 2.593 2.593
Ga 0.000 2.593 0.000
Ga 0.000 0.000 2.593
Ga 2.593 0.000 0.000
```

---

[11]
First-principles (GGA-PBE) data for a relaxed La2PrDySc crystal, as listed in Alexandria. Values from VASP.

Calculated values
Calculated formation energy in eV/atom: 0.3444
Total moment in μB/atom: 0.000
DFT total energy in eV per cell: -47.692

```
&SYSTEM
  ibrav = 0, nat = 10, ntyp = 4
/
ATOMIC_SPECIES
La 138.91 La.upf
Pr 140.91 Pr.upf
Dy 162.50 Dy.upf
Sc 44.96 Sc.upf
CELL_PARAMETERS angstrom
7.303 0.000 0.000
0.000 8.323 0.000
0.000 -4.162 5.809
ATOMIC_POSITIONS angstrom
La 3.652 2.503 0.000
La 0.000 5.820 0.000
La 3.652 5.820 0.000
La 0.000 2.503 0.000
Pr 1.826 4.162 2.678
Pr 5.477 0.000 3.131
Dy 5.477 4.162 2.867
Dy 1.826 0.000 2.942
Sc 1.826 4.162 5.679
Sc 5.477 0.000 0.130
```

---

[12]
First-principles (GGA-PBE) data for a relaxed DyTmPd crystal, as listed in Alexandria. Values from VASP.

Calculated values
Calculated formation energy in eV/atom: -0.5752
Excess energy over the best structure of this formula in the dataset in meV/atom: 62
Total moment in μB/atom: 0.000
DFT total energy in eV per cell: -95.953

```
&SYSTEM
  ibrav = 0, nat = 18, ntyp = 3
/
ATOMIC_SPECIES
Dy 162.50 Dy.upf
Tm 168.93 Tm.upf
Pd 106.42 Pd.upf
CELL_PARAMETERS angstrom
7.355 0.000 0.000
-3.678 6.370 0.000
0.000 0.000 9.601
ATOMIC_POSITIONS angstrom
Dy -0.968 1.676 0.000
Dy 2.710 4.694 0.000
Dy 1.935 0.000 0.000
Dy -0.968 1.676 4.801
Dy 2.710 4.694 4.801
Dy 1.935 0.000 4.801
Tm 5.172 3.777 2.400
Tm 1.498 2.591 2.400
Tm 4.362 0.002 2.400
Tm 1.495 2.593 7.201
Tm -2.179 3.779 7.201
Tm 0.685 6.368 7.201
Pd 0.000 0.000 2.400
Pd 0.000 0.000 7.201
Pd 3.678 2.123 0.005
Pd 3.678 2.123 4.796
Pd 0.000 4.247 9.596
Pd 0.000 4.247 4.806
```

---

[13]
First-principles (GGA-PBE) data for a relaxed NdHfTaIr2 crystal, as listed in Alexandria. Values from VASP.

Calculated values
Calculated formation energy in eV/atom: -0.7269
Total moment in μB/atom: 0.000
DFT total energy in eV per cell: -47.931

```
&SYSTEM
  ibrav = 0, nat = 5, ntyp = 4
/
ATOMIC_SPECIES
Nd 144.24 Nd.upf
Hf 178.49 Hf.upf
Ta 180.95 Ta.upf
Ir 192.22 Ir.upf
CELL_PARAMETERS angstrom
4.487 0.000 0.000
0.000 4.487 0.000
-2.243 -2.243 5.378
ATOMIC_POSITIONS angstrom
Nd 0.000 0.000 0.000
Hf 0.000 2.243 2.689
Ta 2.243 0.000 2.689
Ir 2.243 2.243 1.317
Ir 0.000 0.000 4.061
```

---

[14]
First-principles (GGA-PBE) data for a relaxed CsCo2Sn crystal, as listed in Alexandria. Values from VASP.

Calculated values
Calculated formation energy in eV/atom: 0.7463
Total moment in μB/atom: 0.664
DFT total energy in eV per cell: -32.166

```
&SYSTEM
  ibrav = 0, nat = 8, ntyp = 3
/
ATOMIC_SPECIES
Cs 132.91 Cs.upf
Co 58.93 Co.upf
Sn 118.71 Sn.upf
CELL_PARAMETERS angstrom
5.132 0.000 0.000
0.000 5.132 0.000
2.566 2.566 8.792
ATOMIC_POSITIONS angstrom
Cs 0.000 0.000 0.000
Cs 5.132 2.566 4.396
Co 2.567 1.283 2.198
Co 2.565 3.849 2.198
Co 3.849 5.131 6.594
Co 6.414 5.133 6.594
Sn 2.566 2.566 0.000
Sn 2.566 5.132 4.396
```

---

[15]
First-principles (GGA-PBE) data for a relaxed Ca2Be2SnO6 crystal, as listed in Alexandria. Values from VASP.

Calculated values
Total moment in μB/atom: 0.000
Formation energy (no corrections) in meV per atom: -2353
DFT total energy in eV per cell: -71.085

```
&SYSTEM
  ibrav = 0, nat = 11, ntyp = 4
/
ATOMIC_SPECIES
Ca 40.08 Ca.upf
Be 9.01 Be.upf
Sn 118.71 Sn.upf
O 16.00 O.upf
CELL_PARAMETERS angstrom
5.273 0.000 0.000
-2.636 4.566 0.000
0.000 0.000 5.715
ATOMIC_POSITIONS angstrom
Ca 2.636 1.522 3.634
Ca 0.000 3.044 2.081
Be 0.000 3.044 4.743
Be 2.636 1.522 0.972
Sn 0.000 0.000 0.000
O -0.559 1.626 4.484
O 1.508 3.269 4.484
O -0.949 4.238 4.484
O 3.195 2.941 1.232
O 1.128 1.297 1.232
O 3.585 0.329 1.232
```

---

[16]
First-principles (GGA-PBE) data for a relaxed AlSClO crystal, as listed in Alexandria. Values from VASP.

Calculated values
Excess energy over the best structure of this formula in the dataset in meV/atom: 180
Total moment in μB/atom: 0.000
Formation energy (no corrections) in meV per atom: -1061
DFT total energy in eV per cell: -37.836

```
&SYSTEM
  ibrav = 0, nat = 8, ntyp = 4
/
ATOMIC_SPECIES
Al 26.98 Al.upf
S 32.06 S.upf
Cl 35.45 Cl.upf
O 16.00 O.upf
CELL_PARAMETERS angstrom
7.721 0.000 0.009
0.000 3.264 0.000
-1.902 0.000 5.310
ATOMIC_POSITIONS angstrom
Al 0.576 0.000 3.664
Al 1.527 1.632 1.009
S -0.031 0.000 0.363
S -0.983 1.632 3.018
Cl 5.669 0.000 0.593
Cl 4.718 1.632 3.248
O 2.430 0.000 0.247
O 1.479 1.632 2.902
```

---

[17]
First-principles (GGA-PBE) data for a relaxed HfNi2Ge crystal, as listed in Alexandria. Values from VASP.

Calculated values
Calculated formation energy in eV/atom: -0.1363
Total moment in μB/atom: 0.000
DFT total energy in eV per cell: -53.358

```
&SYSTEM
  ibrav = 0, nat = 8, ntyp = 3
/
ATOMIC_SPECIES
Ni 58.69 Ni.upf
Ge 72.64 Ge.upf
Hf 178.49 Hf.upf
CELL_PARAMETERS angstrom
-1.859 0.091 3.404
-3.135 -1.559 -1.670
0.367 -8.388 2.636
ATOMIC_POSITIONS angstrom
Ni -1.389 -2.238 2.444
Ni -2.173 -3.056 0.174
Ni -1.721 -6.903 2.561
Ni -3.971 -7.514 3.559
Ge -2.497 -0.734 0.867
Ge -2.633 -5.340 0.916
Hf 0.000 0.000 0.000
Hf -1.994 -4.515 3.453
```

---

[18]
First-principles (GGA-PBE) data for a relaxed CsNbAg2I8 crystal, as listed in Alexandria. Values from VASP.

Calculated values
Total moment in μB/atom: 0.000
Formation energy (no corrections) in meV per atom: -534
DFT total energy in eV per cell: -35.429

```
&SYSTEM
  ibrav = 0, nat = 12, ntyp = 4
/
ATOMIC_SPECIES
Cs 132.91 Cs.upf
Nb 92.91 Nb.upf
Ag 107.87 Ag.upf
I 126.90 I.upf
CELL_PARAMETERS angstrom
7.207 0.062 0.387
0.246 8.435 2.133
1.007 3.370 10.211
ATOMIC_POSITIONS angstrom
Cs 0.503 1.685 5.106
Nb 0.000 0.000 0.000
Ag 4.566 5.336 7.720
Ag 3.895 6.531 5.011
I 1.049 7.131 4.499
I 5.138 6.935 2.471
I 5.913 1.981 1.871
I 7.412 4.736 8.231
I 3.322 4.932 10.259
I 2.547 9.887 10.859
I 4.431 8.143 7.265
I 4.029 3.724 5.465
```

---

[19]
First-principles (GGA-PBE) data for a relaxed Y2CN crystal, as listed in Alexandria. Values from VASP.

Calculated values
Excess energy over the best structure of this formula in the dataset in meV/atom: 289
Total moment in μB/atom: 0.242
Formation energy (no corrections) in meV per atom: -503
DFT total energy in eV per cell: -64.977

```
&SYSTEM
  ibrav = 0, nat = 8, ntyp = 3
/
ATOMIC_SPECIES
Y 88.91 Y.upf
C 12.01 C.upf
N 14.01 N.upf
CELL_PARAMETERS angstrom
-1.686 -1.776 5.582
-4.860 -2.819 -2.365
-1.235 -5.478 1.212
ATOMIC_POSITIONS angstrom
Y -1.996 -2.860 3.584
Y -3.530 -3.326 -0.565
Y -3.305 -5.788 2.153
Y -6.729 -8.174 3.687
C -3.273 -2.298 1.609
C -4.684 -5.297 0.228
N 0.000 0.000 0.000
N -3.097 -4.776 4.201
```

---

[20]
First-principles (GGA-PBE) data for a relaxed Li5Tl4Hg crystal, as listed in Alexandria. Values from VASP.

Calculated values
Calculated formation energy in eV/atom: -0.2528
Total moment in μB/atom: 0.000
DFT total energy in eV per cell: -21.864

```
&SYSTEM
  ibrav = 0, nat = 10, ntyp = 3
/
ATOMIC_SPECIES
Li 6.94 Li.upf
Tl 204.38 Tl.upf
Hg 200.59 Hg.upf
CELL_PARAMETERS angstrom
3.410 0.000 0.000
0.000 3.410 0.000
0.000 0.000 17.703
ATOMIC_POSITIONS angstrom
Li 1.705 1.705 1.585
Li 1.705 1.705 5.243
Li 1.705 1.705 8.852
Li 1.705 1.705 12.460
Li 1.705 1.705 16.118
Tl 0.000 0.000 3.418
Tl 0.000 0.000 7.037
Tl 0.000 0.000 10.667
Tl 0.000 0.000 14.286
Hg 0.000 0.000 0.000
```